Ir2RuSe, optimized geometry, DFT PBE; mass density = 15.59 g cm⁻³; E_tot = -7.203 eV/atom; total magnetization = 0.00 μB/cell; uncorrected formation energy = 417 meV/atom; space group = No. 65; density of states at the Fermi level = 8.43 states/eV per cell
1.0
5.4860 0.0000 0.0000
0.0000 7.7010 0.0000
0.0000 0.0000 2.8455
Ir Ru Se
4 2 2
Cartesian
1.3715 1.9253 0.0000
1.3715 5.7758 0.0000
4.1145 1.9253 0.0000
4.1145 5.7758 0.0000
0.0000 0.0000 1.4228
2.7430 3.8505 1.4228
0.0000 3.8505 1.4228
2.7430 0.0000 1.4228